An optimized crystal structure of Ba2ThSnTe5. Source: the Alexandria database, functional GGA-PBE.

Geometry as POSCAR:
```
Ba2ThSnTe5
1.0
2.366 -9.974 0.000
2.366 9.974 0.000
0.000 0.000 15.481
Ba Th Sn Te
4 2 2 10
Cartesian
2.366 8.174 7.741
2.366 7.316 2.222
2.366 -7.316 9.963
2.366 -8.174 0.000
2.366 5.536 13.435
2.366 -5.536 5.694
2.366 0.920 4.462
2.366 -0.920 12.203
2.366 8.533 14.101
2.366 4.645 7.841
2.366 3.903 3.628
2.366 2.477 12.832
2.366 0.156 9.300
2.366 -0.156 1.559
2.366 -2.477 5.091
2.366 -3.903 11.369
2.366 -4.645 0.100
2.366 -8.533 6.360
```

**DOS(E_F)**: 0.1 states/eV/f.u.
**ΔE_f (raw)**: -1.2089 eV per atom
**Magnetic moment**: 0.00 μB/f.u.